[1]
PuMgAsN: relaxed, PBE.

Results
* Fermi-level density of states: 5.3 states/eV/f.u.
* formation energy from raw total energies: -20.7 kcal/mol of atoms

The structure in CIF format:
```
data_PuMgAsN
_symmetry_space_group_name_H-M 'R -3 m'
_symmetry_Int_Tables_number 166
_symmetry_space_group_name_Hall '-R 3 2"'
_cell_length_a 4.0669
_cell_length_b 4.0669
_cell_length_c 31.3240
_cell_angle_alpha 90.00
_cell_angle_beta 90.00
_cell_angle_gamma 120.00
loop_
_atom_site_label
_atom_site_type_symbol
_atom_site_fract_x
_atom_site_fract_y
_atom_site_fract_z
Pu1 Pu 0.0000 0.0000 0.1243
Mg1 Mg 0.0000 0.0000 0.3029
As1 As 0.0000 0.0000 0.3936
N1 N 0.0000 0.0000 0.1927
```



[2]
NdFe2PN: relaxed, PBE.

Results
* Fermi-level density of states: 2.6 states/eV/f.u.
* formation energy from raw total energies: -19.8 kcal/mol of atoms

The structure in CIF format:
```
data_NdFe2PN
_symmetry_space_group_name_H-M 'C m c m'
_symmetry_Int_Tables_number 63
_symmetry_space_group_name_Hall '-C 2c 2'
_cell_length_a 3.692
_cell_length_b 10.535
_cell_length_c 6.765
_cell_angle_alpha 90.00
_cell_angle_beta 90.00
_cell_angle_gamma 90.00
loop_
_atom_site_label
_atom_site_type_symbol
_atom_site_fract_x
_atom_site_fract_y
_atom_site_fract_z
Nd1 Nd 0.000 0.048 0.250
Fe1 Fe 0.000 0.334 0.055
P1 P 0.000 0.228 0.750
N1 N 0.000 0.500 0.000
```



[3]
Cr2C: relaxed, PBE.

Results
* Fermi-level density of states: 3.5 states/eV/f.u.
* ΔE_f: 0.13 eV per atom

The structure in CIF format:
```
data_Cr2C
_symmetry_space_group_name_H-M 'P 4/m m m'
_symmetry_Int_Tables_number 123
_symmetry_space_group_name_Hall '-P 4 2'
_cell_length_a 2.768
_cell_length_b 2.768
_cell_length_c 3.928
_cell_angle_alpha 90.00
_cell_angle_beta 90.00
_cell_angle_gamma 90.00
loop_
_atom_site_label
_atom_site_type_symbol
_atom_site_fract_x
_atom_site_fract_y
_atom_site_fract_z
Cr1 Cr 0.000 0.000 0.000
Cr2 Cr 0.500 0.500 0.500
C1 C 0.000 0.000 0.500
```



Number 1: calculated total energy -8.122 eV/atom. Number 2: calculated total energy -7.946 eV/atom. Number 3: calculated total energy -9.359 eV/atom.